Compound: CsNbBr2
Source: the Alexandria database
Functional: PBE
Structure: relaxed Values from VASP.

Structure (Quantum ESPRESSO input):
```
&SYSTEM
  ibrav = 0, nat = 4, ntyp = 3
/
ATOMIC_SPECIES
Cs 132.91 Cs.upf
Nb 92.91 Nb.upf
Br 79.90 Br.upf
ATOMIC_POSITIONS angstrom
Cs 0.000 0.000 0.000
Nb 3.991 3.991 3.991
Br 1.996 1.996 1.996
Br 5.987 5.987 5.987
CELL_PARAMETERS angstrom
0.000 3.991 3.991
3.991 0.000 3.991
3.991 3.991 0.000
```

Calculated values
calculated volume: 31.79 Å³ per atom
formation energy without anion corrections: 38 meV per atom
total magnetization: 1.000 μB/atom